Sr2TmFe2O6 | GGA+U | optimized geometry

It has space group R-3m (No. 166, hexagonal axes), with a = 6.0412 Å, b = 6.0412 Å, c = 17.0201 Å, α = 90.00°, β = 90.00° and γ = 120.00°. The inequivalent atoms are Sr at (0.0000, 0.0000, 0.2013), Tm at (0.0000, 0.0000, 0.0000), Fe at (0.0000, 0.0000, 0.4254) and O at (0.0191, 0.5096, 0.7546).

The calculated density comes out at 5.1 g cm⁻³. As for the uncorrected energy: -0.4952 Ry per atom.